# PrNd3Dy2Se6 (PBE, optimized geometry)
# - formation energy without anion corrections (eV per formula unit) = -21.744
# - E_tot (eV/atom) = -5.911
# - M_tot (μB per atom) = 0.000
# - crystal system = monoclinic
data_PrNd3Dy2Se6
_chemical_formula_sum 'Pr1 Nd3 Dy2 Se6'
_cell_length_a 7.2417
_cell_length_b 7.2417
_cell_length_c 7.2755
_cell_angle_alpha 99.52
_cell_angle_beta 99.52
_cell_angle_gamma 120.22
_space_group_name_H-M_alt 'P 1'
_space_group_IT_number 1
loop_
_space_group_symop_operation_xyz
'x,y,z'
loop_
_atom_site_label
_atom_site_type_symbol
_atom_site_fract_x
_atom_site_fract_y
_atom_site_fract_z
Pr1 Pr 0.0000 0.0000 0.0000
Nd1 Nd 0.1595 0.8405 0.5000
Nd2 Nd 0.5000 0.5000 0.5000
Nd3 Nd 0.8405 0.1595 0.5000
Dy1 Dy 0.3341 0.6659 0.0000
Dy2 Dy 0.6659 0.3341 0.0000
Se1 Se 0.0807 0.4256 0.2433
Se2 Se 0.2653 0.2653 0.7626
Se3 Se 0.4256 0.0807 0.2433
Se4 Se 0.5744 0.9193 0.7567
Se5 Se 0.7347 0.7347 0.2374
Se6 Se 0.9193 0.5744 0.7567

***

# Pr2NdDySe5 (PBE, optimized geometry)
# - formation energy without anion corrections (eV per formula unit) = -11.780
# - E_tot (eV/atom) = -5.348
# - M_tot (μB per atom) = 0.000
# - crystal system = tetragonal
data_Pr2NdDySe5
_chemical_formula_sum 'Pr2 Nd1 Dy1 Se5'
_cell_length_a 5.1436
_cell_length_b 5.1436
_cell_length_c 11.0031
_cell_angle_alpha 90.00
_cell_angle_beta 90.00
_cell_angle_gamma 90.00
_space_group_name_H-M_alt 'P 1'
_space_group_IT_number 1
loop_
_space_group_symop_operation_xyz
'x,y,z'
loop_
_atom_site_label
_atom_site_type_symbol
_atom_site_fract_x
_atom_site_fract_y
_atom_site_fract_z
Pr1 Pr 0.0000 0.0000 0.1750
Pr2 Pr 0.0000 0.0000 0.8250
Nd1 Nd 0.5000 0.5000 0.5000
Dy1 Dy 0.5000 0.5000 0.0000
Se1 Se 0.0000 0.0000 0.5000
Se2 Se 0.0000 0.5000 0.0000
Se3 Se 0.5000 0.0000 0.0000
Se4 Se 0.5000 0.5000 0.2498
Se5 Se 0.5000 0.5000 0.7502

***

# Pr2NdDy3Se6 (PBE, optimized geometry)
# - formation energy without anion corrections (eV per formula unit) = -21.619
# - E_tot (eV/atom) = -5.888
# - M_tot (μB per atom) = 0.000
# - crystal system = monoclinic
data_Pr2NdDy3Se6
_chemical_formula_sum 'Pr2 Nd1 Dy3 Se6'
_cell_length_a 9.3637
_cell_length_b 9.3637
_cell_length_c 8.4406
_cell_angle_alpha 104.63
_cell_angle_beta 104.63
_cell_angle_gamma 25.40
_space_group_name_H-M_alt 'P 1'
_space_group_IT_number 1
loop_
_space_group_symop_operation_xyz
'x,y,z'
loop_
_atom_site_label
_atom_site_type_symbol
_atom_site_fract_x
_atom_site_fract_y
_atom_site_fract_z
Pr1 Pr 0.1668 0.1668 0.3335
Pr2 Pr 0.8332 0.8332 0.6665
Nd1 Nd 0.5000 0.5000 0.0000
Dy1 Dy 0.1672 0.1672 0.8332
Dy2 Dy 0.5000 0.5000 0.5000
Dy3 Dy 0.8328 0.8328 0.1668
Se1 Se 0.0040 0.0040 0.7420
Se2 Se 0.3304 0.3304 0.9272
Se3 Se 0.3373 0.3373 0.4070
Se4 Se 0.6627 0.6627 0.5930
Se5 Se 0.6696 0.6696 0.0728
Se6 Se 0.9960 0.9960 0.2580

***

# PrNdDy2Se6 (PBE, optimized geometry)
# - formation energy without anion corrections (eV per formula unit) = -18.449
# - E_tot (eV/atom) = -5.811
# - M_tot (μB per atom) = 0.000
# - crystal system = trigonal
data_PrNdDy2Se6
_chemical_formula_sum 'Pr1 Nd1 Dy2 Se6'
_cell_length_a 7.7908
_cell_length_b 7.7908
_cell_length_c 7.7908
_cell_angle_alpha 56.46
_cell_angle_beta 56.46
_cell_angle_gamma 56.46
_space_group_name_H-M_alt 'P 1'
_space_group_IT_number 1
loop_
_space_group_symop_operation_xyz
'x,y,z'
loop_
_atom_site_label
_atom_site_type_symbol
_atom_site_fract_x
_atom_site_fract_y
_atom_site_fract_z
Pr1 Pr 0.0000 0.0000 0.0000
Nd1 Nd 0.4986 0.4986 0.4986
Dy1 Dy 0.2976 0.2976 0.2976
Dy2 Dy 0.7985 0.7985 0.7985
Se1 Se 0.0826 0.6814 0.4165
Se2 Se 0.1854 0.5828 0.9125
Se3 Se 0.4165 0.0826 0.6814
Se4 Se 0.5828 0.9125 0.1854
Se5 Se 0.6814 0.4165 0.0826
Se6 Se 0.9125 0.1854 0.5828

***

# PrNd4DySe8 (PBE, optimized geometry)
# - formation energy without anion corrections (eV per formula unit) = -24.154
# - E_tot (eV/atom) = -5.749
# - M_tot (μB per atom) = 0.000
# - crystal system = trigonal
data_PrNd4DySe8
_chemical_formula_sum 'Pr1 Nd4 Dy1 Se8'
_cell_length_a 8.6766
_cell_length_b 8.6766
_cell_length_c 8.6766
_cell_angle_alpha 59.94
_cell_angle_beta 59.94
_cell_angle_gamma 59.94
_space_group_name_H-M_alt 'P 1'
_space_group_IT_number 1
loop_
_space_group_symop_operation_xyz
'x,y,z'
loop_
_atom_site_label
_atom_site_type_symbol
_atom_site_fract_x
_atom_site_fract_y
_atom_site_fract_z
Pr1 Pr 0.0000 0.0000 0.0000
Nd1 Nd 0.9999 0.9999 0.4940
Nd2 Nd 0.9999 0.4940 0.9999
Nd3 Nd 0.4940 0.9999 0.9999
Nd4 Nd 0.6236 0.6236 0.6236
Dy1 Dy 0.3732 0.3732 0.3732
Se1 Se 0.2246 0.7553 0.7553
Se2 Se 0.2443 0.2443 0.2443
Se3 Se 0.2460 0.2460 0.7593
Se4 Se 0.2460 0.7593 0.2460
Se5 Se 0.7553 0.2246 0.7553
Se6 Se 0.7553 0.7553 0.2246
Se7 Se 0.7567 0.7567 0.7567
Se8 Se 0.7593 0.2460 0.2460

***

# Pr3NdDy3Se8 (PBE, optimized geometry)
# - formation energy without anion corrections (eV per formula unit) = -27.826
# - E_tot (eV/atom) = -5.908
# - M_tot (μB per atom) = 0.000
# - crystal system = trigonal
data_Pr3NdDy3Se8
_chemical_formula_sum 'Pr3 Nd1 Dy3 Se8'
_cell_length_a 8.3551
_cell_length_b 8.3551
_cell_length_c 8.3551
_cell_angle_alpha 59.49
_cell_angle_beta 59.49
_cell_angle_gamma 59.49
_space_group_name_H-M_alt 'P 1'
_space_group_IT_number 1
loop_
_space_group_symop_operation_xyz
'x,y,z'
loop_
_atom_site_label
_atom_site_type_symbol
_atom_site_fract_x
_atom_site_fract_y
_atom_site_fract_z
Pr1 Pr 0.0000 0.5000 0.5000
Pr2 Pr 0.5000 0.0000 0.5000
Pr3 Pr 0.5000 0.5000 0.0000
Nd1 Nd 0.5000 0.5000 0.5000
Dy1 Dy 0.0000 0.0000 0.5000
Dy2 Dy 0.0000 0.5000 0.0000
Dy3 Dy 0.5000 0.0000 0.0000
Se1 Se 0.2338 0.7554 0.7554
Se2 Se 0.2446 0.2446 0.2446
Se3 Se 0.2446 0.2446 0.7662
Se4 Se 0.2446 0.7662 0.2446
Se5 Se 0.7554 0.2338 0.7554
Se6 Se 0.7554 0.7554 0.2338
Se7 Se 0.7554 0.7554 0.7554
Se8 Se 0.7662 0.2446 0.2446